## TaZnO2 (meta-GGA SCAN)

Data for a PBEsol-optimized structure of TaZnO2. Values from VASP.

```
&SYSTEM
  ibrav = 0, nat = 16, ntyp = 3
/
ATOMIC_SPECIES
Ta 180.95 Ta.upf
Zn 65.41 Zn.upf
O 16.00 O.upf
ATOMIC_POSITIONS crystal
Ta 0.000 0.250 0.375
Ta 0.000 0.750 0.625
Ta 0.500 0.250 0.125
Ta 0.500 0.750 0.875
Zn 0.000 0.250 0.875
Zn 0.000 0.750 0.125
Zn 0.500 0.250 0.625
Zn 0.500 0.750 0.375
O 0.000 0.000 0.500
O 0.000 0.500 0.500
O 0.250 0.250 0.250
O 0.250 0.750 0.750
O 0.500 0.000 0.000
O 0.500 0.500 0.000
O 0.750 0.250 0.250
O 0.750 0.750 0.750
CELL_PARAMETERS angstrom
5.834 0.000 0.000
0.000 5.834 0.000
0.000 0.000 9.595
```

Computed properties:
raw total energy: -24.64 eV per atom
E_form (uncorrected): -1.495 eV per atom
space-group type: I4_1/amd

---

## MgRhAu2 (meta-GGA SCAN)

Data for a PBEsol-optimized structure of MgRhAu2. Values from VASP.

```
&SYSTEM
  ibrav = 0, nat = 4, ntyp = 3
/
ATOMIC_SPECIES
Mg 24.30 Mg.upf
Rh 102.91 Rh.upf
Au 196.97 Au.upf
ATOMIC_POSITIONS crystal
Mg 0.000 0.000 0.000
Rh 0.500 0.500 0.226
Au 0.000 0.000 0.472
Au 0.500 0.500 0.742
CELL_PARAMETERS angstrom
2.910 0.000 0.000
0.000 2.910 0.000
0.000 0.000 7.556
```

Computed properties:
DFT formation energy: -0.25 eV per atom
raw total energy: -44.52 eV per atom
space-group type: P4mm

---

> What is the raw total energy in the first record?

-24.64 eV per atom